# 1
A geometry-optimized Ce2HoMg structure, computed with PBE.

```
Ce2HoMg
1.0
4.710 0.000 0.000
0.000 4.710 0.000
0.000 0.000 5.107
Ce Ho Mg
2 1 1
direct
0.000 0.500 0.000
0.500 0.000 0.000
0.000 0.000 0.500
0.500 0.500 0.500
```

Energy relative to the elements = 0.42 eV per formula unit
SG = No. 123
Uncorrected energy = -4.40 eV/atom
M_tot = 2.163 μB/f.u.
Distance to the lowest polymorph of the same formula = 11 meV/atom


# 2
A geometry-optimized CeHoMg6 structure, computed with PBE.

```
CeHoMg6
1.0
6.728 0.000 0.000
0.000 6.728 0.000
0.000 0.000 4.554
Ce Ho Mg
1 1 6
direct
0.000 0.000 0.000
0.500 0.500 0.000
0.000 0.500 0.000
0.253 0.253 0.500
0.253 0.747 0.500
0.500 0.000 0.000
0.747 0.253 0.500
0.747 0.747 0.500
```

Energy relative to the elements = 0.07 eV per formula unit
SG = No. 123
Uncorrected energy = -2.50 eV/atom
M_tot = 1.126 μB/f.u.
Distance to the lowest polymorph of the same formula = 27 meV/atom


# 3
A geometry-optimized CeHoMg6 structure, computed with PBE.

```
CeHoMg6
1.0
5.206 0.000 0.000
0.000 3.355 5.803
0.000 -3.355 5.803
Ce Ho Mg
1 1 6
direct
0.000 0.000 0.000
0.500 0.332 0.332
0.000 0.502 0.502
0.000 0.503 0.994
0.000 0.994 0.503
0.500 0.340 0.828
0.500 0.828 0.340
0.500 0.830 0.830
```

Energy relative to the elements = -0.14 eV per formula unit
SG = No. 38
Uncorrected energy = -2.53 eV/atom
M_tot = 1.063 μB/f.u.
Distance to the lowest polymorph of the same formula = 0 meV/atom


# 4
A geometry-optimized Ce2HoMg structure, computed with PBE.

```
Ce2HoMg
1.0
3.303 0.000 0.000
0.000 3.303 0.000
0.000 0.000 10.373
Ce Ho Mg
2 1 1
direct
0.000 0.000 0.242
0.000 0.000 0.758
0.500 0.500 0.500
0.500 0.500 0.000
```

Energy relative to the elements = 0.38 eV per formula unit
SG = No. 123
Uncorrected energy = -4.42 eV/atom
M_tot = 1.735 μB/f.u.
Distance to the lowest polymorph of the same formula = 0 meV/atom


# 5
A geometry-optimized CeHo3Mg4 structure, computed with PBE.

```
CeHo3Mg4
1.0
3.762 0.000 0.000
0.000 5.375 0.000
0.000 0.000 10.734
Ce Ho Mg
1 3 4
direct
0.000 0.000 0.000
0.000 0.000 0.500
0.000 0.500 0.249
0.000 0.500 0.751
0.500 0.000 0.255
0.500 0.000 0.745
0.500 0.500 0.000
0.500 0.500 0.500
```

Energy relative to the elements = -0.27 eV per formula unit
SG = No. 47
Uncorrected energy = -3.29 eV/atom
M_tot = 0.998 μB/f.u.


# 6
A geometry-optimized CeNdHoMg structure, computed with PBE.

```
CeNdHoMg
1.0
0.000 3.913 3.913
3.913 0.000 3.913
3.913 3.913 0.000
Ce Nd Ho Mg
1 1 1 1
direct
0.000 0.000 0.000
0.750 0.750 0.750
0.250 0.250 0.250
0.500 0.500 0.500
```

Energy relative to the elements = 0.59 eV per formula unit
SG = No. 216
Uncorrected energy = -4.07 eV/atom
M_tot = 0.981 μB/f.u.


# 7
A geometry-optimized CeHoMgOs structure, computed with PBE.

```
CeHoMgOs
1.0
0.000 3.550 3.550
3.550 0.000 3.550
3.550 3.550 0.000
Ce Ho Mg Os
1 1 1 1
direct
0.000 0.000 0.000
0.500 0.500 0.500
0.250 0.250 0.250
0.750 0.750 0.750
```

Energy relative to the elements = -0.33 eV per formula unit
SG = No. 216
Uncorrected energy = -5.92 eV/atom
M_tot = 0.000 μB/f.u.


# 8
A geometry-optimized Ce2HoMgP4 structure, computed with PBE.

```
Ce2HoMgP4
1.0
6.839 0.000 0.000
0.000 4.052 0.000
-2.436 0.000 6.579
Ce Ho Mg P
2 1 1 4
direct
0.000 0.000 0.000
0.000 0.500 0.500
0.500 0.000 0.500
0.500 0.500 0.000
0.253 0.500 0.252
0.255 0.000 0.754
0.745 0.000 0.246
0.747 0.500 0.748
```

Energy relative to the elements = -9.94 eV per formula unit
SG = No. 10
Uncorrected energy = -6.20 eV/atom
M_tot = 0.831 μB/f.u.


# 9
A geometry-optimized CeHoMgPa structure, computed with PBE.

```
CeHoMgPa
1.0
0.000 3.777 3.777
3.777 0.000 3.777
3.777 3.777 0.000
Ce Ho Mg Pa
1 1 1 1
direct
0.000 0.000 0.000
0.500 0.500 0.500
0.750 0.750 0.750
0.250 0.250 0.250
```

Energy relative to the elements = 1.25 eV per formula unit
SG = No. 216
Uncorrected energy = -5.09 eV/atom
M_tot = 1.592 μB/f.u.


# 10
A geometry-optimized CeHoMgPd structure, computed with PBE.

```
CeHoMgPd
1.0
0.000 3.657 3.657
3.657 0.000 3.657
3.657 3.657 0.000
Ce Ho Mg Pd
1 1 1 1
direct
0.000 0.000 0.000
0.500 0.500 0.500
0.250 0.250 0.250
0.750 0.750 0.750
```

Energy relative to the elements = -1.11 eV per formula unit
SG = No. 216
Uncorrected energy = -4.60 eV/atom
M_tot = 0.729 μB/f.u.


# 11
A geometry-optimized CeHoPuMg structure, computed with PBE.

```
CeHoPuMg
1.0
0.000 3.810 3.810
3.810 0.000 3.810
3.810 3.810 0.000
Ce Ho Pu Mg
1 1 1 1
direct
0.000 0.000 0.000
0.500 0.500 0.500
0.750 0.750 0.750
0.250 0.250 0.250
```

Energy relative to the elements = 0.53 eV per formula unit
SG = No. 216
Uncorrected energy = -6.48 eV/atom
M_tot = 7.756 μB/f.u.


# 12
A geometry-optimized CeHoMg2Rh4 structure, computed with PBE.

```
CeHoMg2Rh4
1.0
2.335 1.348 7.576
-2.335 1.348 7.576
0.000 -2.697 7.576
Ce Ho Mg Rh
1 1 2 4
direct
0.000 0.000 0.000
0.500 0.500 0.500
0.247 0.247 0.247
0.753 0.753 0.753
0.122 0.122 0.122
0.374 0.374 0.374
0.626 0.626 0.626
0.878 0.878 0.878
```

Energy relative to the elements = -5.76 eV per formula unit
SG = No. 166
Uncorrected energy = -6.11 eV/atom
M_tot = 0.000 μB/f.u.